A plane-wave DFT calculation with PBE was carried out for InCu3Pd6 after structural relaxation.

Cell: 7.2699 7.2699 7.2699 Å, 107.67 107.67 107.67°
Positions (direct):
Pd 0.8361 0.2698 0.1212
Pd 0.1212 0.8361 0.2698
Pd 0.8788 0.1639 0.7302
Pd 0.4845 0.1769 0.6027
Pd 0.8231 0.3973 0.5155
Pd 0.7302 0.8788 0.1639
Pd 0.5155 0.8231 0.3973
Pd 0.3973 0.5155 0.8231
Pd 0.6027 0.4845 0.1769
Pd 0.1769 0.6027 0.4845
Pd 0.1639 0.7302 0.8788
Pd 0.2698 0.1212 0.8361
Cu 0.4774 0.0828 0.1924
Cu 0.0828 0.1924 0.4774
Cu 0.8076 0.5226 0.9172
Cu 0.5226 0.9172 0.8076
Cu 0.9172 0.8076 0.5226
Cu 0.1924 0.4774 0.0828
In 0.0000 0.0000 0.0000
In 0.5000 0.5000 0.5000

Properties
Energy of formation from the pure elements   -0.099 eV per atom

=====

A plane-wave DFT calculation with PBE was carried out for CeSc2Ru2 after structural relaxation.

Cell: 3.2260 3.2664 10.0661 Å, 80.66 90.00 90.00°
Positions (direct):
Ru 0.5000 0.4032 0.1937
Ru 0.5000 0.5968 0.8063
Sc 0.0000 0.8287 0.3427
Sc 0.0000 0.1713 0.6573
Ce 0.0000 0.0000 0.0000

Properties
Energy of formation from the pure elements   -0.342 eV per atom

=====

A plane-wave DFT calculation with PBE was carried out for CePr2C2Cl2 after structural relaxation.

Cell: 4.6433 4.6433 8.1282 Å, 106.60 106.60 90.00°
Positions (direct):
Cl 0.8042 0.8042 0.6083
Cl 0.1958 0.1958 0.3917
Ce 0.0000 0.0000 0.0000
Pr 0.3949 0.3949 0.7899
Pr 0.6051 0.6051 0.2101
C 0.5000 0.0000 0.0000
C 0.0000 0.5000 0.0000

Properties
E_form (uncorrected)   -0.791 eV/atom

=====

A plane-wave DFT calculation with PBE was carried out for NbAlFe after structural relaxation.

Cell: 4.9528 4.9528 4.9528 Å, 90.87 118.30 120.71°
Positions (direct):
Fe 0.0000 0.5000 0.5000
Fe 0.5000 0.0000 0.5000
Al 0.0000 0.5000 0.0000
Al 0.5000 0.5000 0.5000
Nb 0.2500 0.1250 0.8750
Nb 0.7500 0.8750 0.1250

Properties
Energy of formation from the pure elements   -0.335 eV per atom

=====

A plane-wave DFT calculation with PBE was carried out for Tb5ThTl4 after structural relaxation.

Cell: 3.5696 3.5696 22.1879 Å, 90.00 90.00 90.00°
Positions (direct):
Tb 0.5000 0.5000 0.1094
Tb 0.5000 0.5000 0.8906
Tb 0.5000 0.5000 0.3052
Tb 0.5000 0.5000 0.6948
Tb 0.5000 0.5000 0.5000
Tl 0.0000 0.0000 0.7930
Tl 0.0000 0.0000 0.4024
Tl 0.0000 0.0000 0.2070
Tl 0.0000 0.0000 0.5976
Th 0.0000 0.0000 0.0000

Properties
Energy of formation from the pure elements   -0.290 eV per atom

=====

A plane-wave DFT calculation with PBE was carried out for SrMgGaAu2 after structural relaxation.

Cell: 5.1139 5.0373 5.1139 Å, 90.00 90.00 90.00°
Positions (direct):
Au 0.0000 0.0000 0.5000
Au 0.5000 0.0000 0.0000
Mg 0.0000 0.0000 0.0000
Sr 0.5000 0.5000 0.5000
Ga 0.0000 0.5000 0.0000

Properties
Energy of formation from the pure elements   -0.207 eV per atom

=====

A plane-wave DFT calculation with PBE was carried out for Mo2As2Se after structural relaxation.

Cell: 3.8587 3.8587 6.7157 Å, 73.30 73.30 90.00°
Positions (direct):
As 0.2500 0.7500 0.5000
As 0.7500 0.2500 0.5000
Se 0.0000 0.0000 0.0000
Mo 0.6132 0.6132 0.7736
Mo 0.3868 0.3868 0.2264

Properties
E_form (uncorrected)   0.290 eV/atom

=====

A plane-wave DFT calculation with PBE was carried out for Pm12NdIn3 after structural relaxation.

Cell: 4.9731 4.9731 20.3549 Å, 90.00 90.00 90.00°
Positions (direct):
Nd 0.0000 0.0000 0.0000
Pm 0.5000 0.0000 0.6223
Pm 0.5000 0.5000 0.2564
Pm 0.5000 0.5000 0.0000
Pm 0.5000 0.5000 0.5000
Pm 0.0000 0.5000 0.1328
Pm 0.0000 0.5000 0.6223
Pm 0.5000 0.5000 0.7436
Pm 0.5000 0.0000 0.3777
Pm 0.0000 0.5000 0.8672
Pm 0.5000 0.0000 0.1328
Pm 0.5000 0.0000 0.8672
Pm 0.0000 0.5000 0.3777
In 0.0000 0.0000 0.2565
In 0.0000 0.0000 0.7435
In 0.0000 0.0000 0.5000

Properties
Energy of formation from the pure elements   -0.195 eV per atom

=====

| no. | V (Å³/cell) | mass density (g/cm³) |
| --- | --- | --- |
| 1 | 314 | 9.986 |
| 2 | 105 | 6.856 |
| 3 | 160 | 5.354 |
| 4 | 86 | 6.748 |
| 5 | 283 | 10.832 |
| 6 | 132 | 7.255 |
| 7 | 91 | 7.646 |
| 8 | 503 | 7.352 |